VASP calculation (PBE) on a relaxed CaLaPr2 crystal.

The volume is 37.10 Å³/atom. The calculation puts the formation energy at 0.063 eV per atom. For the polymorph energy (0 for the lowest one), the calculation gives 0.0352 eV/atom.

```
CaLaPr2
1.0
-4.754 1.651 -1.801
-1.369 -4.996 -0.966
-1.982 -0.398 4.866
La Ca Pr
1 1 2
Direct
0.500 0.500 0.500
0.500 0.000 0.000
0.000 0.000 0.500
0.000 0.500 0.000
```